Crystalline Li2PuZn2Sn2 at its relaxed geometry. Source: Alexandria, functional PBE-GGA.

Cell: 8.591 8.591 8.591 Å, 30.36 30.36 30.36°
Fractional positions:
Li  0.142  0.142  0.142
Li  0.858  0.858  0.858
Pu  0.000  0.000  0.000
Zn  0.444  0.444  0.444
Zn  0.556  0.556  0.556
Sn  0.259  0.259  0.259
Sn  0.741  0.741  0.741

Calculated values
calculated volume	144	Å³/f.u.
calculated formation energy	-1.974	eV/f.u.
final energy	-0.16111	Ha/atom

***

Crystalline Sr2LiPu at its relaxed geometry. Source: Alexandria, functional PBE-GGA.

Cell: 13.212 13.212 13.212 Å, 16.25 16.25 16.25°
Fractional positions:
Sr  0.091  0.091  0.091
Sr  0.909  0.909  0.909
Li  0.500  0.500  0.500
Pu  0.000  0.000  0.000

Calculated values
calculated volume	157	Å³/f.u.
calculated formation energy	1.870	eV/f.u.
final energy	-0.16298	Ha/atom